VASP calculation (PBE) on CeTm2Al after structural relaxation.

## Properties
- Crystal system: cubic
- Volume: 102 Å³/f.u.
- Final energy: -4.648 eV per atom
- DFT formation energy: 0.7 kJ per mole of atoms

abc: 7.4064 7.4064 7.4064
angles: 90.00 90.00 90.00
Space group Fm-3m (No. 225)
Inequivalent atoms, fractional coordinates:
Ce1 0.0000 0.0000 0.0000 x4
Tm1 0.2500 0.2500 0.2500 x8
Al1 0.0000 0.0000 0.5000 x4



VASP calculation (PBE) on YTmU2As4 after structural relaxation.

## Properties
- Crystal system: monoclinic
- Volume: 193 Å³/f.u.
- Final energy: -7.647 eV per atom
- DFT formation energy: -109.3 kJ per mole of atoms

abc: 7.0290 4.0570 7.1672
angles: 90.00 109.07 90.00
Space group P2/m (No. 10)
Inequivalent atoms, fractional coordinates:
Y1 0.0000 0.0000 0.0000 x1
Tm1 0.5000 0.5000 0.0000 x1
U1 0.0000 0.5000 0.5000 x1
U2 0.5000 0.0000 0.5000 x1
As1 0.2523 0.0000 0.7510 x2
As2 0.2522 0.5000 0.2506 x2